# 1
Entry from the Alexandria database: a relaxed K2LiRe crystal (GGA-PBE).

## Properties
For the formation energy, the calculation gives 1.244 eV per atom. The value obtained for the total energy is -2.89 eV/atom. The value obtained for the density is 4.5 g/cm³. As for the magnetization: 0.237 μB per atom. The value obtained for the energy above the most stable polymorph in this dataset is 212 meV/atom.

Geometry as POSCAR:
```
K2LiRe
1.0
2.7426 0.0000 0.0000
0.0000 5.7896 0.0000
-0.0706 0.0000 6.3379
K Li Re
2 1 1
Direct
0.0088 0.0000 0.2384
0.9912 0.0000 0.7616
0.0000 0.5000 0.5000
0.5000 0.5000 0.0000
```


# 2
Entry from the Alexandria database: a relaxed KLiRe3 crystal (GGA-PBE).

## Properties
For the formation energy, the calculation gives 2.342 eV per atom. The value obtained for the total energy is -5.73 eV/atom. The value obtained for the density is 11.8 g/cm³. As for the magnetization: 0.000 μB per atom. The value obtained for the energy above the most stable polymorph in this dataset is 0 meV/atom.

Geometry as POSCAR:
```
KLiRe3
1.0
4.4025 0.0000 0.0000
0.0000 4.4025 0.0000
0.0000 0.0000 4.4025
K Li Re
1 1 3
Direct
0.0000 0.0000 0.0000
0.5000 0.5000 0.5000
0.0000 0.5000 0.5000
0.5000 0.0000 0.5000
0.5000 0.5000 0.0000
```


# 3
Entry from the Alexandria database: a relaxed KLi2Re crystal (GGA-PBE).

## Properties
For the formation energy, the calculation gives 0.752 eV per atom. The value obtained for the total energy is -3.59 eV/atom. The value obtained for the density is 4.9 g/cm³. As for the magnetization: 0.085 μB per atom. The value obtained for the energy above the most stable polymorph in this dataset is 61 meV/atom.

Geometry as POSCAR:
```
KLi2Re
1.0
1.4363 0.8292 11.2633
-1.4363 0.8292 11.2633
0.0000 -1.6584 11.2633
K Li Re
1 2 1
Direct
0.0000 0.0000 0.0000
0.2332 0.2332 0.2332
0.7668 0.7668 0.7668
0.5000 0.5000 0.5000
```


# 4
Entry from the Alexandria database: a relaxed KLi2Re crystal (GGA-PBE).

## Properties
For the formation energy, the calculation gives 0.693 eV per atom. The value obtained for the total energy is -3.65 eV/atom. The value obtained for the density is 4.9 g/cm³. As for the magnetization: 0.000 μB per atom. The value obtained for the energy above the most stable polymorph in this dataset is 1 meV/atom.

Geometry as POSCAR:
```
KLi2Re
1.0
2.7114 0.0000 0.0000
0.0000 2.7114 0.0000
0.0000 0.0000 11.0190
K Li Re
1 2 1
Direct
0.0000 0.0000 0.0000
0.5000 0.5000 0.3105
0.5000 0.5000 0.6895
0.0000 0.0000 0.5000
```


# 5
Entry from the Alexandria database: a relaxed K3LiRe crystal (GGA-PBE).

## Properties
For the formation energy, the calculation gives 1.404 eV per atom. The value obtained for the total energy is -2.13 eV/atom. The value obtained for the density is 1.8 g/cm³. As for the magnetization: 0.613 μB per atom. The value obtained for the energy above the most stable polymorph in this dataset is 0 meV/atom.

Geometry as POSCAR:
```
K3LiRe
1.0
6.5577 0.0000 0.0000
0.0000 6.5577 0.0000
0.0000 0.0000 6.5577
K Li Re
3 1 1
Direct
0.0000 0.0000 0.5000
0.0000 0.5000 0.0000
0.5000 0.0000 0.0000
0.5000 0.5000 0.5000
0.0000 0.0000 0.0000
```


# 6
Entry from the Alexandria database: a relaxed K2LiRe crystal (GGA-PBE).

## Properties
For the formation energy, the calculation gives 1.502 eV per atom. The value obtained for the total energy is -2.64 eV/atom. The value obtained for the density is 3.5 g/cm³. As for the magnetization: 0.851 μB per atom. The value obtained for the energy above the most stable polymorph in this dataset is 470 meV/atom.

Geometry as POSCAR:
```
K2LiRe
1.0
-2.4487 2.4487 5.3256
2.4487 -2.4487 5.3256
2.4487 2.4487 -5.3256
K Li Re
2 1 1
Direct
0.2500 0.7500 0.5000
0.7500 0.2500 0.5000
0.0000 0.0000 0.0000
0.5000 0.5000 0.0000
```


# 7
Entry from the Alexandria database: a relaxed KLi2Re crystal (GGA-PBE).

## Properties
For the formation energy, the calculation gives 0.693 eV per atom. The value obtained for the total energy is -3.65 eV/atom. The value obtained for the density is 5.1 g/cm³. As for the magnetization: 0.000 μB per atom. The value obtained for the energy above the most stable polymorph in this dataset is 2 meV/atom.

Geometry as POSCAR:
```
KLi2Re
1.0
1.6289 -2.1841 0.0000
1.6289 2.1841 0.0000
0.0000 0.0000 11.0434
K Li Re
1 2 1
Direct
0.0000 0.0000 0.0000
0.0000 0.0000 0.4549
0.5000 0.5000 0.6922
0.5000 0.5000 0.2583
```


# 8
Entry from the Alexandria database: a relaxed KLiRe crystal (GGA-PBE).

## Properties
For the formation energy, the calculation gives 2.287 eV per atom. The value obtained for the total energy is -2.87 eV/atom. The value obtained for the density is 4.0 g/cm³. As for the magnetization: 1.075 μB per atom. The value obtained for the energy above the most stable polymorph in this dataset is 1377 meV/atom.

Geometry as POSCAR:
```
KLiRe
1.0
0.0000 3.6465 3.6465
3.6465 0.0000 3.6465
3.6465 3.6465 0.0000
K Li Re
1 1 1
Direct
0.0000 0.0000 0.0000
0.2500 0.2500 0.2500
0.7500 0.7500 0.7500
```


# 9
Entry from the Alexandria database: a relaxed KLi2Re crystal (GGA-PBE).

## Properties
For the formation energy, the calculation gives 1.348 eV per atom. The value obtained for the total energy is -3.00 eV/atom. The value obtained for the density is 4.6 g/cm³. As for the magnetization: 0.631 μB per atom. The value obtained for the energy above the most stable polymorph in this dataset is 656 meV/atom.

Geometry as POSCAR:
```
KLi2Re
1.0
-2.1030 2.1030 4.9319
2.1030 -2.1030 4.9319
2.1030 2.1030 -4.9319
K Li Re
1 2 1
Direct
0.0000 0.0000 0.0000
0.2500 0.7500 0.5000
0.5000 0.5000 0.0000
0.7500 0.2500 0.5000
```


# 10
Entry from the Alexandria database: a relaxed KLiRe crystal (GGA-PBE).

## Properties
For the formation energy, the calculation gives 1.257 eV per atom. The value obtained for the total energy is -3.90 eV/atom. The value obtained for the density is 6.0 g/cm³. As for the magnetization: 0.000 μB per atom. The value obtained for the energy above the most stable polymorph in this dataset is 347 meV/atom.

Geometry as POSCAR:
```
KLiRe
1.0
5.4092 0.0000 0.0000
-2.7046 4.6845 0.0000
0.0000 0.0000 2.5280
K Li Re
1 1 1
Direct
0.0000 0.0000 0.0000
0.6667 0.3333 0.9971
0.3333 0.6667 0.5002
```


# 11
Entry from the Alexandria database: a relaxed KLi2ReS crystal (GGA-PBE).

## Properties
The value obtained for the total energy is -4.15 eV/atom. The value obtained for the density is 3.9 g/cm³. As for the magnetization: 0.000 μB per atom. Its uncorrected formation energy is 14.8 kJ per mole of atoms.

Geometry as POSCAR:
```
KLi2ReS
1.0
5.0862 0.0000 0.0000
0.0000 5.0862 0.0000
0.0000 0.0000 4.4425
K Li Re S
1 2 1 1
Direct
0.0000 0.0000 0.0000
0.0000 0.5000 0.5000
0.5000 0.0000 0.5000
0.5000 0.5000 0.5000
0.5000 0.5000 0.0000
```


# 12
Entry from the Alexandria database: a relaxed K2LiReSe4 crystal (GGA-PBE).

## Properties
The value obtained for the total energy is -4.50 eV/atom. The value obtained for the density is 3.9 g/cm³. As for the magnetization: 0.246 μB per atom. Its uncorrected formation energy is -66.8 kJ per mole of atoms.

Geometry as POSCAR:
```
K2LiReSe4
1.0
-3.8214 3.8214 4.2297
3.8214 -3.8214 4.2297
3.8214 3.8214 -4.2297
K Li Re Se
2 1 1 4
Direct
0.0000 0.0000 0.0000
0.7500 0.2500 0.5000
0.5000 0.5000 0.0000
0.2500 0.7500 0.5000
0.2569 0.6878 0.1395
0.3122 0.4516 0.5691
0.5484 0.1174 0.8605
0.8826 0.7431 0.4309
```


# 13
Entry from the Alexandria database: a relaxed K2LiZrRe crystal (GGA-PBE).

## Properties
For the formation energy, the calculation gives 1.361 eV per atom. The value obtained for the total energy is -3.66 eV/atom. The value obtained for the density is 2.8 g/cm³. As for the magnetization: 0.000 μB per atom.

Geometry as POSCAR:
```
K2LiZrRe
1.0
6.7720 0.0000 0.0000
0.0000 6.7720 0.0000
0.0000 0.0000 4.7278
K Li Zr Re
2 1 1 1
Direct
0.0000 0.5000 0.0000
0.5000 0.0000 0.0000
0.0000 0.0000 0.5000
0.5000 0.5000 0.0000
0.5000 0.5000 0.5000
```


# 14
Entry from the Alexandria database: a relaxed KLi2ZrRe crystal (GGA-PBE).

## Properties
For the formation energy, the calculation gives 1.968 eV per atom. The value obtained for the total energy is -3.22 eV/atom. The value obtained for the density is 4.6 g/cm³. As for the magnetization: 0.000 μB per atom. The value obtained for the energy above the most stable polymorph in this dataset is 435 meV/atom.

Geometry as POSCAR:
```
KLi2ZrRe
1.0
4.8424 0.0000 0.0000
0.0000 4.8424 0.0000
0.0000 0.0000 5.0868
K Li Zr Re
1 2 1 1
Direct
0.0000 0.0000 0.0000
0.0000 0.5000 0.5000
0.5000 0.0000 0.5000
0.5000 0.5000 0.0000
0.0000 0.0000 0.5000
```